Entry 1:
Material: Cs2SrPt2
Method: DFT, PBE-GGA
State: optimized geometry

Crystal system ... tetragonal
Energy relative to the elements ... -69 meV/atom

Cell: 7.8905 7.8905 5.7469 Å, 90.00 90.00 90.00°
Space group P4/mbm (No. 127)
Unique sites:
Cs (0.1678, 0.3322, 0.0000)
Sr (0.0000, 0.0000, 0.5000)
Pt (0.1177, 0.6177, 0.5000)

***

Entry 2:
Material: BeHg2Ir
Method: DFT, PBE-GGA
State: optimized geometry

Crystal system ... monoclinic
Energy relative to the elements ... 544 meV/atom

Cell: 3.0882 4.1968 5.3216 Å, 90.00 101.22 90.00°
Space group P2/m (No. 10)
Unique sites:
Be (0.0000, 0.0000, 0.0000)
Hg (0.3513, 0.5000, 0.2361)
Ir (0.0000, 0.0000, 0.5000)

***

Question: energy relative to the elements of number 1 (Cs2SrPt2)?
Answer: -69 meV/atom

***

Repeat the second record exactly.
Material: BeHg2Ir
Method: DFT, PBE-GGA
State: optimized geometry

Crystal system ... monoclinic
Energy relative to the elements ... 544 meV/atom

Cell: 3.0882 4.1968 5.3216 Å, 90.00 101.22 90.00°
Space group P2/m (No. 10)
Unique sites:
Be (0.0000, 0.0000, 0.0000)
Hg (0.3513, 0.5000, 0.2361)
Ir (0.0000, 0.0000, 0.5000)

***

Question: Look up the energy relative to the elements of the second one.
Answer: 544 meV/atom

***

Question: Which of these has the lowest energy relative to the elements?
Answer: Cs2SrPt2